1.
BaVBr3, relaxed, DFT GGA-PBE; formation energy from raw total energies = -1.09 eV per atom
1.0
-0.0721 -4.8049 2.2559
-0.7471 -2.2245 -4.7619
5.2553 -0.3821 -0.6460
Br Ba V
3 1 1
Cartesian
-0.0360 -2.4025 1.1280
2.6277 -0.1911 -0.3230
-0.3735 -1.1122 -2.3809
2.2181 -3.7058 -1.5759
0.0000 0.0000 0.0000

=====

2.
Er5SnHg2, relaxed, DFT GGA-PBE; calculated formation energy = -0.4752 eV per atom
1.0
-5.9975 -5.5148 -0.6913
1.7849 -0.9479 -7.9232
6.2825 -1.4992 5.8140
Er Hg Sn
10 4 2
Cartesian
0.5844 -5.0775 2.0451
-2.1063 -3.2313 -4.3073
5.2780 -1.5631 0.0700
1.4855 -2.8844 -4.8457
3.2432 -2.1396 3.8999
-1.1733 -5.8223 -6.7005
2.6192 -4.5010 -1.7849
-0.5494 -3.4609 -1.0157
-3.2082 -6.3988 -2.8706
0.0000 0.0000 0.0000
-0.1872 -1.1075 -2.9584
-4.0255 -5.3552 -5.6562
-0.6295 -2.8087 -7.0738
-3.5832 -3.6540 -1.5407
-0.0183 -5.5966 -3.5539
2.0881 -2.3653 0.7533

=====

3.
YHfCd2, relaxed, DFT GGA-PBE; calculated formation energy = -0.0708 eV per atom
1.0
0.0000 3.6163 3.6163
3.6163 0.0000 3.6163
3.6163 3.6163 0.0000
Cd Y Hf
2 1 1
Cartesian
5.4245 5.4245 5.4245
1.8082 1.8082 1.8082
0.0000 0.0000 0.0000
3.6163 3.6163 3.6163

=====

4.
BaSr2AgPd, relaxed, DFT GGA-PBE; calculated formation energy = -0.1997 eV per atom
1.0
5.8794 0.0000 0.0000
0.0000 5.8794 0.0000
0.0000 0.0000 6.1387
Sr Pd Ag Ba
2 1 1 1
Cartesian
2.9397 0.0000 0.0000
0.0000 2.9397 0.0000
0.0000 0.0000 0.0000
2.9397 2.9397 3.0694
0.0000 0.0000 3.0694

=====

How do the records compare in DOS at the Fermi energy? In the order shown, they have 2.67; 10.77; 3.38; 2.56 states/eV per cell.